1.
## Y2TaMn (PBE)

Data for a relaxed structure of Y2TaMn.

Geometry as POSCAR:
```
Y2TaMn
1.0
-2.6064 -3.2885 -1.0310
1.8116 -0.1028 -4.2520
3.2115 -2.9971 1.4408
Y Ta Mn
2 1 1
Cartesian
2.5116 -1.5499 -1.4056
0.0000 0.0000 0.0000
0.3026 -3.1428 0.2049
-0.3974 -1.6957 -2.6415
```

Values from the calculation:
- Calculated density: 7.44 Mg/m³
- Energy: -7.9892 eV/atom
- Space-group type: P4/mmm (123)
- N(E_F): 5.77 states/eV/f.u.
- Offset from the most stable computed form: 0.341 eV/atom
- Formation energy from the elements: 0.498 eV/atom

2.
## Tl2In2Hg (PBE)

Data for a relaxed structure of Tl2In2Hg.

Geometry as POSCAR:
```
Tl2In2Hg
1.0
-2.7547 -2.4081 2.6160
3.1987 -0.2331 3.1536
-2.4515 5.2075 6.0789
Hg In Tl
1 2 2
Cartesian
0.0000 0.0000 0.0000
-1.7159 2.6328 8.3502
-0.2916 -0.0666 3.4984
0.4846 1.8269 6.0587
-2.4921 0.7394 5.7899
```

Values from the calculation:
- Calculated density: 8.89 Mg/m³
- Energy: -1.9668 eV/atom
- Space-group type: I4/mmm (139)
- N(E_F): 2.59 states/eV/f.u.
- Offset from the most stable computed form: 0.130 eV/atom
- Formation energy from the elements: 0.135 eV/atom

3.
## Ac4Cu2Ir (PBE)

Data for a relaxed structure of Ac4Cu2Ir.

Geometry as POSCAR:
```
Ac4Cu2Ir
1.0
-2.6666 -1.9137 2.8883
-1.6209 -4.7457 -4.6410
7.4383 -2.5429 1.8733
Ac Cu Ir
4 2 1
Cartesian
3.9181 -6.4015 -0.6243
-0.7672 -2.8009 0.7449
2.5294 -4.2429 2.8331
0.6214 -4.9595 -2.7124
2.2626 -3.5904 -0.2901
0.8883 -5.6120 0.4107
0.0000 0.0000 0.0000
```

Values from the calculation:
- Calculated density: 8.89 Mg/m³
- Energy: -5.0949 eV/atom
- Space-group type: C2/m (12)
- N(E_F): 4.77 states/eV/f.u.
- Offset from the most stable computed form: 0.000 eV/atom
- Formation energy from the elements: -0.311 eV/atom

4.
## SrInOs2 (PBE)

Data for a relaxed structure of SrInOs2.

Geometry as POSCAR:
```
SrInOs2
1.0
-1.4290 -1.6829 5.7847
-1.0604 -4.2566 4.3696
3.9236 -1.3145 3.4132
Os Sr In
2 1 1
Cartesian
1.6399 -5.3485 10.1551
3.5445 -1.3652 3.4065
0.6877 -3.4917 6.5298
0.2028 -1.9904 3.6731
```

Values from the calculation:
- Calculated density: 11.76 Mg/m³
- Energy: -6.1042 eV/atom
- Space-group type: Cm (8)
- N(E_F): 4.77 states/eV/f.u.
- Formation energy from the elements: 0.616 eV/atom

5.
## Hf2TaIr (PBE)

Data for a relaxed structure of Hf2TaIr.

Geometry as POSCAR:
```
Hf2TaIr
1.0
3.2045 0.0000 0.0000
0.0000 4.8010 0.0000
0.0000 0.0000 4.8010
Hf Ta Ir
2 1 1
Cartesian
0.0000 2.4005 0.0000
0.0000 0.0000 2.4005
1.6023 2.4005 2.4005
1.6023 0.0000 0.0000
```

Values from the calculation:
- Calculated density: 16.41 Mg/m³
- Energy: -10.5658 eV/atom
- Space-group type: P4/mmm (123)
- N(E_F): 3.83 states/eV/f.u.
- Offset from the most stable computed form: 0.063 eV/atom
- Formation energy from the elements: -0.411 eV/atom

6.
## Na3Tm2CrSe6 (PBE)

Data for a relaxed structure of Na3Tm2CrSe6.

Geometry as POSCAR:
```
Na3Tm2CrSe6
1.0
-2.5214 -4.1801 -4.8706
1.2848 -2.4476 6.3176
-6.1070 3.8646 1.4792
Se Tm Na Cr
6 2 3 1
Cartesian
-6.3179 -2.3641 0.5304
-1.0257 -0.3989 2.3958
-2.2108 -0.9384 -1.0876
-2.2719 -4.2119 1.4251
-5.1329 -1.8247 4.0138
-5.0718 1.4489 1.5011
0.0143 -3.0259 2.5829
-1.2509 -3.6017 -1.1359
-4.9331 -1.9556 -2.2443
-3.6718 -1.3815 1.4631
-2.4106 -0.8074 5.1704
0.0000 0.0000 0.0000
```

Values from the calculation:
- Calculated density: 5.37 Mg/m³
- Energy: -4.9911 eV/atom
- Space-group type: C2/m (12)
- Energy relative to the elements, uncorrected: -1.372 eV/atom

7.
## Fe2Ir3Rh7 (PBE)

Data for a relaxed structure of Fe2Ir3Rh7.

Geometry as POSCAR:
```
Fe2Ir3Rh7
1.0
-1.5162 2.1809 -0.4543
-2.6701 -2.5180 -3.1767
-9.8880 -5.3402 7.3651
Rh Ir Fe
7 3 2
Cartesian
0.0000 0.0000 0.0000
-3.1381 -2.2832 -0.4875
-7.6919 -3.4594 1.0719
-6.3824 -2.2178 2.6622
-9.4200 -5.5749 4.6758
-11.4713 -5.7149 2.8579
-2.6030 0.0377 0.8762
-8.8874 -5.7603 2.0082
-3.6707 -2.0978 2.1802
-2.0931 -0.1685 -1.8155
-8.4237 -3.4627 3.4988
-5.6506 -2.2145 0.2353
```

Values from the calculation:
- Calculated density: 13.75 Mg/m³
- Energy: -7.8281 eV/atom
- Space-group type: P2/m (10)
- N(E_F): 15.46 states/eV/f.u.
- Formation energy from the elements: 0.086 eV/atom

8.
## Nd2Er5Sc12 (PBE)

Data for a relaxed structure of Nd2Er5Sc12.

Geometry as POSCAR:
```
Nd2Er5Sc12
1.0
8.6253 0.0000 0.0000
-4.3127 10.7549 -1.4287
0.0000 -5.0510 6.3280
Sc Er Nd
12 5 2
Cartesian
0.0000 8.4897 0.1631
1.6406 6.0324 1.4295
4.3127 5.2302 3.2238
2.7684 2.6550 4.9638
-1.6406 6.0324 1.4295
7.0810 3.0489 -0.0646
1.5443 3.0489 -0.0646
0.0000 0.4737 1.6755
2.6720 -0.3285 3.4698
-2.7684 2.6550 4.9638
4.3127 -2.7858 4.7361
5.9533 -0.3285 3.4698
0.0000 3.4036 2.9444
0.0000 -2.5255 3.1640
4.3127 5.1162 -0.0772
0.0000 0.5877 4.9765
4.3127 2.3003 1.9549
5.9978 0.0000 0.0000
2.6275 0.0000 0.0000
```

Values from the calculation:
- Calculated density: 5.27 Mg/m³
- Energy: -5.5606 eV/atom
- Space-group type: C2/m (12)
- N(E_F): 30.12 states/eV/f.u.
- Formation energy from the elements: 0.141 eV/atom

9.
## Li3Fe (PBE)

Data for a relaxed structure of Li3Fe.

Geometry as POSCAR:
```
Li3Fe
1.0
4.4444 0.0000 0.0000
0.0000 2.4720 0.0680
0.0000 0.8617 5.4367
Li Fe
3 1
Cartesian
2.2222 1.0192 1.2934
2.2222 2.3145 4.2113
0.0000 1.6668 2.7524
0.0000 0.0000 0.0000
```

Values from the calculation:
- Calculated density: 2.14 Mg/m³
- Energy: -3.2813 eV/atom
- Space-group type: P2/m (10)
- N(E_F): 2.31 states/eV/f.u.
- Formation energy from the elements: 0.270 eV/atom

10.
## DyEr7Hg4 (PBE)

Data for a relaxed structure of DyEr7Hg4.

Geometry as POSCAR:
```
DyEr7Hg4
1.0
5.6422 0.0000 0.0000
2.8211 8.4000 0.8890
2.8211 1.0545 7.1668
Hg Dy Er
4 1 7
Cartesian
8.4633 6.5665 7.4771
5.6422 6.4802 3.2852
5.6422 2.9743 4.7705
2.8211 2.8880 0.5787
0.0000 0.0000 0.0000
2.8211 1.4659 3.4565
5.6422 2.8733 1.8505
8.4633 4.1791 5.5787
8.4633 7.9886 4.5992
5.6422 6.5812 6.2053
2.8211 5.2754 2.4771
2.8211 0.0000 0.0000
```

Values from the calculation:
- Calculated density: 10.61 Mg/m³
- Energy: -3.2340 eV/atom
- Space-group type: C2/m (12)
- N(E_F): 12.20 states/eV/f.u.
- Formation energy from the elements: -0.088 eV/atom

11.
## BaAgS3 (PBE)

Data for a relaxed structure of BaAgS3.

Geometry as POSCAR:
```
BaAgS3
1.0
5.9267 0.0000 0.0000
0.0000 5.9267 0.0000
0.0000 0.0000 5.9267
Ag S Ba
1 3 1
Cartesian
2.9634 2.9634 2.9634
0.0000 0.0000 2.9634
0.0000 2.9634 0.0000
2.9634 0.0000 0.0000
0.0000 0.0000 0.0000
```

Values from the calculation:
- Calculated density: 2.72 Mg/m³
- Energy: -2.9119 eV/atom
- Space-group type: Pm-3m (221)
- N(E_F): 4.13 states/eV/f.u.
- Offset from the most stable computed form: 1.269 eV/atom
- Energy relative to the elements, uncorrected: 0.519 eV/atom

12.
## Sr2Li16La (PBE)

Data for a relaxed structure of Sr2Li16La.

Geometry as POSCAR:
```
Sr2Li16La
1.0
-2.3724 -0.7360 7.4484
5.8002 -4.6920 2.4477
4.5846 5.5830 3.0758
Li Sr La
16 2 1
Cartesian
-0.2743 1.1716 6.1820
2.2245 2.6437 1.5441
-1.0684 -0.3473 3.6138
0.0935 -1.9372 5.9920
2.9665 -2.6218 6.9222
6.3589 0.4595 4.7900
0.8365 0.0162 1.3543
2.3737 2.3886 7.2285
1.5282 -0.3230 8.2424
2.7999 -2.2198 1.2468
5.0828 2.9056 6.0082
2.5145 3.7047 4.4292
3.3697 -3.5230 3.9873
4.9872 2.5078 2.9162
5.4745 -1.6112 2.6644
5.7040 -2.3444 5.6873
2.7376 0.0530 4.4322
5.1804 0.1002 8.3870
7.2030 0.1393 11.6617
```

Values from the calculation:
- Calculated density: 1.49 Mg/m³
- Energy: -2.0061 eV/atom
- Space-group type: R3m (160)
- N(E_F): 13.41 states/eV/f.u.
- Formation energy from the elements: 0.042 eV/atom

13.
## La2CuSn3 (PBE)

Data for a relaxed structure of La2CuSn3.

Geometry as POSCAR:
```
La2CuSn3
1.0
-3.4972 2.6695 -0.6552
-1.8859 -3.1684 -2.8427
-3.7444 -3.3730 6.2434
Cu Sn La
1 3 2
Cartesian
-3.8838 -1.3234 0.2389
-4.9030 -1.5068 4.9320
-2.4792 0.6767 0.8905
-5.0737 -2.3953 2.2230
-0.9548 -1.5949 -1.4015
-1.8899 -1.7024 3.1511
```

Values from the calculation:
- Calculated density: 6.97 Mg/m³
- Energy: -4.9125 eV/atom
- Space-group type: Pmm2 (25)
- N(E_F): 4.33 states/eV/f.u.
- Offset from the most stable computed form: 0.004 eV/atom
- Formation energy from the elements: -0.586 eV/atom

14.
## LiZr2In2 (PBE)

Data for a relaxed structure of LiZr2In2.

Geometry as POSCAR:
```
LiZr2In2
1.0
-8.5852 -1.9984 -0.9424
2.1518 -8.4207 -1.7464
-0.1764 -0.6756 3.0399
Li In Zr
2 4 4
Cartesian
0.0000 0.0000 0.0000
-3.2167 -5.2095 -1.3444
-0.1478 -6.3870 0.1722
-4.1240 -8.6242 -0.5557
-6.4621 -4.7076 0.1789
-2.4859 -2.4704 0.9069
-5.0707 -2.2592 -0.7963
-6.2109 -6.9854 -1.9128
-0.2226 -3.4337 -0.7760
-1.3628 -8.1598 -1.8924
```

Values from the calculation:
- Calculated density: 5.68 Mg/m³
- Energy: -4.9344 eV/atom
- Space-group type: P4/mbm (127)
- N(E_F): 4.25 states/eV/f.u.
- Offset from the most stable computed form: 0.078 eV/atom
- Formation energy from the elements: -0.037 eV/atom

15.
## Ho3TmCd4 (PBE)

Data for a relaxed structure of Ho3TmCd4.

Geometry as POSCAR:
```
Ho3TmCd4
1.0
5.2403 0.0000 0.0000
0.0000 7.5002 0.0000
0.0000 0.0000 10.4773
Tm Cd Ho
2 8 6
Cartesian
0.0000 3.7501 0.0000
0.0000 3.7501 5.2387
5.2370 5.6119 2.6193
0.0032 1.8884 7.8580
5.2370 1.8884 2.6193
2.6201 5.6112 5.2387
2.6201 5.6112 0.0000
2.6201 1.8890 5.2387
0.0032 5.6119 7.8580
2.6201 1.8890 0.0000
0.0000 0.0000 0.0000
0.0000 0.0000 5.2387
2.6176 3.7501 2.6193
2.6226 0.0000 7.8580
2.6226 3.7501 7.8580
2.6177 0.0000 2.6193
```

Values from the calculation:
- Calculated density: 8.98 Mg/m³
- Energy: -3.0502 eV/atom
- Space-group type: P4/mmm (123)
- N(E_F): 7.62 states/eV/f.u.
- Formation energy from the elements: -0.317 eV/atom

16.
## Rb3Na2Au2 (PBE)

Data for a relaxed structure of Rb3Na2Au2.

Geometry as POSCAR:
```
Rb3Na2Au2
1.0
7.8901 0.0000 0.0000
0.0000 8.6651 0.0000
0.0000 0.0000 16.3410
Rb Au Na
12 8 8
Cartesian
7.3321 0.6037 6.3106
2.8599 2.3163 12.2557
5.0302 6.6488 12.2557
5.0302 6.3488 4.0852
0.5581 4.9363 6.3106
7.3321 3.7288 14.4811
0.5581 8.0614 10.0303
0.5581 4.9363 1.8599
7.3321 0.6037 1.8599
2.8599 2.0163 4.0852
0.5581 8.0614 14.4811
7.3321 3.7288 10.0303
6.2813 1.2007 12.2557
5.6082 6.4988 0.0000
2.2820 2.1663 8.1705
6.2813 3.1318 4.0852
5.6082 6.4988 8.1705
1.6089 5.5333 12.2557
1.6089 7.4644 4.0852
2.2820 2.1663 0.0000
3.1478 5.0017 9.4137
4.7423 0.6692 15.0978
3.1478 7.9959 6.9273
3.1478 7.9959 1.2432
4.7423 3.6634 1.2432
3.1478 5.0017 15.0978
4.7423 0.6692 9.4137
4.7423 3.6634 6.9273
```

Values from the calculation:
- Calculated density: 4.14 Mg/m³
- Energy: -1.8975 eV/atom
- Space-group type: Pbcm (57)
- N(E_F): 4.03 states/eV/f.u.
- Formation energy from the elements: -0.170 eV/atom

17.
## K2AlMo (PBE)

Data for a relaxed structure of K2AlMo.

Geometry as POSCAR:
```
K2AlMo
1.0
-2.7063 -2.8271 -4.7328
1.5656 -2.4132 0.5462
-3.6705 -1.9429 3.2595
Mo Al K
1 1 2
Cartesian
-1.8794 -2.5026 -1.4150
-2.9318 -4.6806 0.4879
-3.6560 -1.9562 3.2591
-1.0669 -2.1647 1.9032
```

Values from the calculation:
- Calculated density: 3.52 Mg/m³
- Energy: -3.1191 eV/atom
- Space-group type: P2/m (10)
- N(E_F): 2.69 states/eV/f.u.
- Formation energy from the elements: 1.073 eV/atom

18.
## HoZn9Ag2 (PBE)

Data for a relaxed structure of HoZn9Ag2.

Geometry as POSCAR:
```
HoZn9Ag2
1.0
-3.4963 0.8085 3.7898
-0.0670 -3.1051 4.1946
4.1487 4.3078 6.5023
Ag Zn Ho
2 9 1
Cartesian
1.9470 2.2147 4.9177
-1.3616 -0.2035 9.5690
-2.3710 -1.5268 5.3262
-2.1724 0.5775 6.8872
1.0148 3.4227 7.3939
0.2927 1.0056 7.2434
-0.3954 0.1666 4.9610
0.9807 1.8445 9.5257
2.7577 1.4336 7.5996
2.9564 3.5379 9.1605
-0.4294 -1.4115 7.0929
0.0000 0.0000 0.0000
```

Values from the calculation:
- Calculated density: 8.22 Mg/m³
- Energy: -1.9473 eV/atom
- Space-group type: R-3m (166)
- N(E_F): 3.46 states/eV/f.u.
- Offset from the most stable computed form: 0.000 eV/atom
- Formation energy from the elements: -0.135 eV/atom

19.
## LiSmP (PBE)

Data for a relaxed structure of LiSmP.

Geometry as POSCAR:
```
LiSmP
1.0
-2.7503 -2.2453 1.7638
0.5359 -2.8908 -2.8444
2.2410 -0.0571 3.4218
P Sm Li
1 1 1
Cartesian
-0.4577 -0.3736 0.2935
-0.1609 -2.4986 2.5090
0.6452 -2.3210 -0.4613
```

Values from the calculation:
- Calculated density: 5.44 Mg/m³
- Energy: -5.0186 eV/atom
- Space-group type: P-6m2 (187)
- N(E_F): 0.74 states/eV/f.u.
- Formation energy from the elements: -1.004 eV/atom

20.
## CuRuN2F (PBE)

Data for a relaxed structure of CuRuN2F.

Geometry as POSCAR:
```
CuRuN2F
1.0
-0.9812 -3.6415 -0.4545
2.8596 -1.0535 2.2677
-2.2729 0.2408 2.9780
N Cu Ru F
2 1 1 1
Cartesian
1.4298 -0.5268 1.1339
-0.4906 -1.8207 -0.2272
0.0000 0.0000 0.0000
-0.1973 -2.2271 2.3956
-1.1365 0.1204 1.4890
```

Values from the calculation:
- Calculated density: 6.49 Mg/m³
- Energy: -5.1088 eV/atom
- Space-group type: P4/mmm (123)
- N(E_F): 4.11 states/eV/f.u.
- Offset from the most stable computed form: 0.701 eV/atom
- Energy relative to the elements, uncorrected: 1.270 eV/atom

21.
## LaTh2Ge (PBE)

Data for a relaxed structure of LaTh2Ge.

Geometry as POSCAR:
```
LaTh2Ge
1.0
-3.1241 -3.5743 -0.6453
1.6787 -2.1890 3.9976
-3.2774 2.3807 2.6799
Ge Th La
1 2 1
Cartesian
-1.5621 -1.7872 -0.3227
0.8394 -1.0945 1.9988
-1.6387 1.1904 1.3400
-2.3614 -1.6913 3.0161
```

Values from the calculation:
- Calculated density: 9.93 Mg/m³
- Energy: -6.3587 eV/atom
- Space-group type: P4/mmm (123)
- N(E_F): 3.76 states/eV/f.u.
- Offset from the most stable computed form: 0.000 eV/atom
- Formation energy from the elements: -0.263 eV/atom

22.
## NpBiPb2 (PBE)

Data for a relaxed structure of NpBiPb2.

Geometry as POSCAR:
```
NpBiPb2
1.0
3.3954 0.0000 0.0000
1.6977 2.9405 0.0000
1.6977 0.9802 12.1014
Bi Pb Np
1 2 1
Cartesian
0.0000 0.0000 0.0000
1.6977 0.9802 8.8670
5.0930 2.9405 3.2345
3.3954 1.9603 6.0507
```

Values from the calculation:
- Calculated density: 11.82 Mg/m³
- Energy: -5.8190 eV/atom
- Space-group type: R-3m (166)
- N(E_F): 7.06 states/eV/f.u.
- Offset from the most stable computed form: 0.178 eV/atom
- Formation energy from the elements: 0.241 eV/atom

23.
## ZnSiNi2 (PBE)

Data for a relaxed structure of ZnSiNi2.

Geometry as POSCAR:
```
ZnSiNi2
1.0
-0.8879 2.4873 0.4284
-4.1154 -1.1381 -1.9216
-4.0040 -1.8025 2.1670
Ni Zn Si
2 1 1
Cartesian
0.0000 0.0000 0.0000
-2.5016 0.6746 -0.7466
-2.0020 -0.9013 1.0835
-4.5036 -0.2267 0.3369
```

Values from the calculation:
- Calculated density: 7.32 Mg/m³
- Energy: -4.7827 eV/atom
- Space-group type: P2/m (10)
- N(E_F): 1.64 states/eV/f.u.
- Energy relative to the elements, uncorrected: -0.218 eV/atom